one | A plane-wave DFT calculation with PBE was carried out for a relaxed structure of NdSmGaGe.

abc: 5.1927 5.1927 5.1927
angles: 60.00 60.00 60.00
Positions (direct):
1 Nd 0.0000 0.0000 0.0000
2 Sm 0.5000 0.5000 0.5000
3 Ga 0.7500 0.7500 0.7500
4 Ge 0.2500 0.2500 0.2500

Calculated values
Size of the total moment   0.000 μB/atom
DOS(E_F)   2.27 states/eV/cell

***

two | A plane-wave DFT calculation with PBE was carried out for a relaxed structure of NdSmGaGe.

abc: 4.0933 6.0132 6.0132
angles: 43.39 90.00 90.00
Positions (direct):
1 Nd 0.0000 0.0000 0.0000
2 Sm 0.5000 0.2806 0.2806
3 Ga 0.5000 0.5662 0.5662
4 Ge 0.0000 0.7174 0.7174

Calculated values
Size of the total moment   0.041 μB/atom
DOS(E_F)   3.42 states/eV/cell

***

Which of them is least stable? Easy: one.

***

one | A plane-wave DFT calculation with PBE was carried out for a relaxed structure of Ga2Ni7Ge2.

abc: 3.9953 3.9953 9.9758
angles: 90.00 90.00 120.00
Positions (direct):
1 Ga 0.0000 0.0000 0.0000
2 Ga 0.0000 0.0000 0.5000
3 Ni 0.0000 0.0000 0.2470
4 Ni 0.0000 0.0000 0.7530
5 Ni 0.3333 0.6667 0.1240
6 Ni 0.3333 0.6667 0.3749
7 Ni 0.3333 0.6667 0.6251
8 Ni 0.3333 0.6667 0.8760
9 Ni 0.6667 0.3333 0.5000
10 Ge 0.6667 0.3333 0.2392
11 Ge 0.6667 0.3333 0.7608

Calculated values
Size of the total moment   0.000 μB/atom
DOS(E_F)   5.59 states/eV/cell

***

two | A plane-wave DFT calculation with PBE was carried out for a relaxed structure of Ga2Ni7Ge2.

abc: 5.0473 5.0473 6.1863
angles: 90.00 90.00 103.27
Positions (direct):
1 Ga 0.1952 0.8048 0.0000
2 Ga 0.8048 0.1952 0.0000
3 Ni 0.0000 0.0000 0.2889
4 Ni 0.0000 0.0000 0.7111
5 Ni 0.0000 0.5000 0.2871
6 Ni 0.0000 0.5000 0.7129
7 Ni 0.5000 0.0000 0.2871
8 Ni 0.5000 0.0000 0.7129
9 Ni 0.5000 0.5000 0.0000
10 Ge 0.3065 0.3065 0.5000
11 Ge 0.6935 0.6935 0.5000

Calculated values
Size of the total moment   0.000 μB/atom
DOS(E_F)   4.57 states/eV/cell

***

Which of them is least stable? Easy: two.

***

one | A plane-wave DFT calculation with PBE was carried out for a relaxed structure of GaNiGe.

abc: 7.0253 7.0253 7.0253
angles: 33.37 33.37 33.37
Positions (direct):
1 Ga 0.1274 0.1274 0.1274
2 Ga 0.8726 0.8726 0.8726
3 Ni 0.2533 0.2533 0.2533
4 Ni 0.7467 0.7467 0.7467
5 Ge 0.3775 0.3775 0.3775
6 Ge 0.6225 0.6225 0.6225

Calculated values
Size of the total moment   0.000 μB/atom
DOS(E_F)   2.39 states/eV/cell

***

two | A plane-wave DFT calculation with PBE was carried out for a relaxed structure of GaNiGe.

abc: 3.9795 3.9795 3.5258
angles: 90.00 90.00 120.00
Positions (direct):
1 Ga 0.0000 0.0000 0.0000
2 Ni 0.6667 0.3333 0.3136
3 Ge 0.3333 0.6667 0.4928

Calculated values
Size of the total moment   0.000 μB/atom
DOS(E_F)   1.83 states/eV/cell

***

Which of them is least stable? Easy: two.

***

one | A plane-wave DFT calculation with PBE was carried out for a relaxed structure of Ga2Ni5Ge.

abc: 6.6268 6.6268 6.6268
angles: 122.81 122.81 85.19
Positions (direct):
1 Ga 0.1481 0.6481 0.7962
2 Ga 0.3519 0.1481 0.5000
3 Ga 0.6481 0.8519 0.5000
4 Ga 0.8519 0.3519 0.2038
5 Ni 0.0000 0.0000 0.0000
6 Ni 0.0157 0.8112 0.5000
7 Ni 0.1888 0.6888 0.2044
8 Ni 0.3112 0.5157 0.5000
9 Ni 0.4843 0.9843 0.7956
10 Ni 0.5000 0.5000 0.0000
11 Ni 0.5157 0.0157 0.2044
12 Ni 0.6888 0.4843 0.5000
13 Ni 0.8112 0.3112 0.7956
14 Ni 0.9843 0.1888 0.5000
15 Ge 0.2500 0.2500 0.0000
16 Ge 0.7500 0.7500 0.0000

Calculated values
Size of the total moment   0.000 μB/atom
DOS(E_F)   13.80 states/eV/cell

***

two | A plane-wave DFT calculation with PBE was carried out for a relaxed structure of Ga2Ni5Ge.

abc: 7.4339 7.4339 7.4339
angles: 151.12 151.12 41.30
Positions (direct):
1 Ga 0.2451 0.2451 0.0000
2 Ga 0.7549 0.7549 0.0000
3 Ni 0.0000 0.0000 0.0000
4 Ni 0.1251 0.6251 0.5000
5 Ni 0.3749 0.8749 0.5000
6 Ni 0.6251 0.1251 0.5000
7 Ni 0.8749 0.3749 0.5000
8 Ge 0.5000 0.5000 0.0000

Calculated values
Size of the total moment   0.000 μB/atom
DOS(E_F)   3.74 states/eV/cell

***

Which of them is least stable? Easy: one.

***

one | A plane-wave DFT calculation with PBE was carried out for a relaxed structure of Ga2NiGe2.

abc: 6.3269 6.3269 4.4052
angles: 90.00 90.00 90.00
Positions (direct):
1 Ga 0.1521 0.3479 0.0000
2 Ga 0.3479 0.8479 0.0000
3 Ga 0.6521 0.1521 0.0000
4 Ga 0.8479 0.6521 0.0000
5 Ni 0.0000 0.0000 0.0000
6 Ni 0.5000 0.5000 0.0000
7 Ge 0.1641 0.6641 0.5000
8 Ge 0.3359 0.1641 0.5000
9 Ge 0.6641 0.8359 0.5000
10 Ge 0.8359 0.3359 0.5000

Calculated values
Size of the total moment   0.000 μB/atom
DOS(E_F)   3.93 states/eV/cell

***

two | A plane-wave DFT calculation with PBE was carried out for a relaxed structure of Ga2NiGe2.

abc: 6.1893 6.1893 4.6302
angles: 90.00 90.00 90.00
Positions (direct):
1 Ga 0.1715 0.3285 0.0000
2 Ga 0.3285 0.8285 0.0000
3 Ga 0.6715 0.1715 0.0000
4 Ga 0.8285 0.6715 0.0000
5 Ni 0.0000 0.0000 0.5000
6 Ni 0.5000 0.5000 0.5000
7 Ge 0.1490 0.6490 0.5000
8 Ge 0.3510 0.1490 0.5000
9 Ge 0.6490 0.8510 0.5000
10 Ge 0.8510 0.3510 0.5000

Calculated values
Size of the total moment   0.000 μB/atom
DOS(E_F)   3.29 states/eV/cell

***

Which of them is least stable? Easy: one.

***

one | A plane-wave DFT calculation with PBE was carried out for a relaxed structure of GaNi6Ge.

abc: 4.2563 4.2563 6.4531
angles: 105.60 105.60 69.33
Positions (direct):
1 Ga 0.0000 0.0000 0.0000
2 Ni 0.0433 0.5649 0.1997
3 Ni 0.1410 0.1410 0.4303
4 Ni 0.4351 0.9567 0.8003
5 Ni 0.5649 0.0433 0.1997
6 Ni 0.8590 0.8590 0.5697
7 Ni 0.9567 0.4351 0.8003
8 Ge 0.5000 0.5000 0.5000

Calculated values
Size of the total moment   0.000 μB/atom
DOS(E_F)   9.02 states/eV/cell

***

two | A plane-wave DFT calculation with PBE was carried out for a relaxed structure of GaNi6Ge.

abc: 5.0599 5.0599 3.5818
angles: 90.00 90.00 90.00
Positions (direct):
1 Ga 0.0000 0.0000 0.0000
2 Ni 0.0000 0.5000 0.0000
3 Ni 0.2506 0.2506 0.5000
4 Ni 0.2506 0.7494 0.5000
5 Ni 0.5000 0.0000 0.0000
6 Ni 0.7494 0.2506 0.5000
7 Ni 0.7494 0.7494 0.5000
8 Ge 0.5000 0.5000 0.0000

Calculated values
Size of the total moment   0.089 μB/atom
DOS(E_F)   9.03 states/eV/cell

***

Which of them is least stable? Easy: one.

***

one | A plane-wave DFT calculation with PBE was carried out for a relaxed structure of GaNi3Ge.

abc: 4.3168 4.3168 4.3168
angles: 90.00 90.00 90.00
Positions (direct):
1 Ga 0.0000 0.0000 0.0000
2 Ni 0.0000 0.5000 0.5000
3 Ni 0.5000 0.0000 0.5000
4 Ni 0.5000 0.5000 0.0000
5 Ge 0.5000 0.5000 0.5000

Calculated values
Size of the total moment   0.000 μB/atom
DOS(E_F)   3.84 states/eV/cell

***

two | A plane-wave DFT calculation with PBE was carried out for a relaxed structure of GaNi3Ge.

abc: 6.2238 6.2238 8.0317
angles: 90.00 90.00 71.66
Positions (direct):
1 Ga 0.0016 0.9984 0.7500
2 Ga 0.3897 0.6103 0.2500
3 Ga 0.6103 0.3897 0.7500
4 Ga 0.9984 0.0016 0.2500
5 Ni 0.1764 0.5752 0.7500
6 Ni 0.1856 0.8144 0.0032
7 Ni 0.1856 0.8144 0.4968
8 Ni 0.3820 0.3820 0.0000
9 Ni 0.3820 0.3820 0.5000
10 Ni 0.4248 0.8236 0.7500
11 Ni 0.5752 0.1764 0.2500
12 Ni 0.6180 0.6180 0.0000
13 Ni 0.6180 0.6180 0.5000
14 Ni 0.8144 0.1856 0.5032
15 Ni 0.8144 0.1856 0.9968
16 Ni 0.8236 0.4248 0.2500
17 Ge 0.0000 0.5000 0.0000
18 Ge 0.0000 0.5000 0.5000
19 Ge 0.5000 0.0000 0.0000
20 Ge 0.5000 0.0000 0.5000

Calculated values
Size of the total moment   0.000 μB/atom
DOS(E_F)   11.20 states/eV/cell

***

Which of them is least stable? Easy: one.

***

one | A plane-wave DFT calculation with PBE was carried out for a relaxed structure of Ga3GeO.

abc: 4.4299 4.4299 4.4299
angles: 90.00 90.00 90.00
Positions (direct):
1 Ga 0.0000 0.0000 0.5000
2 Ga 0.0000 0.5000 0.0000
3 Ga 0.5000 0.0000 0.0000
4 Ge 0.5000 0.5000 0.5000
5 O 0.0000 0.0000 0.0000

Calculated values
Size of the total moment   0.000 μB/atom
DOS(E_F)   2.53 states/eV/cell

***

two | A plane-wave DFT calculation with PBE was carried out for a relaxed structure of Ga3GeO.

abc: 4.9169 4.9169 4.9169
angles: 90.00 90.00 90.00
Positions (direct):
1 Ga 0.0000 0.0000 0.5000
2 Ga 0.0000 0.5000 0.0000
3 Ga 0.5000 0.0000 0.0000
4 Ge 0.0000 0.0000 0.0000
5 O 0.5000 0.5000 0.5000

Calculated values
Size of the total moment   0.000 μB/atom
DOS(E_F)   2.77 states/eV/cell

***

Which of them is least stable? Easy: two.